(1)
Mg4AlSb2: relaxed, PBE-GGA.

Cell lengths 5.159, 5.159, 14.711 Å; angles 90.00, 90.00, 90.00 degrees
Space group I4/mmm (No. 139)
Unique sites:
Mg  0.000  0.000  0.183 [4 per cell]
Mg  0.000  0.500  0.000 [4 per cell]
Al  0.000  0.000  0.000 [2 per cell]
Sb  0.000  0.000  0.373 [4 per cell]

Calculated values
Energy relative to the elements, uncorrected   1.325 eV per formula unit
M_tot   0.0000 μB/atom


(2)
MgAl2Sb2: relaxed, PBE-GGA.

Cell lengths 7.747, 7.747, 3.784 Å; angles 90.00, 90.00, 90.00 degrees
Space group P4/mbm (No. 127)
Unique sites:
Mg  0.000  0.000  0.000 [2 per cell]
Al  0.125  0.375  0.000 [4 per cell]
Sb  0.173  0.673  0.500 [4 per cell]

Calculated values
Energy relative to the elements, uncorrected   0.360 eV per formula unit
M_tot   0.0000 μB/atom


(3)
Mg2Al2Sb: relaxed, PBE-GGA.

Cell lengths 8.444, 8.444, 3.028 Å; angles 90.00, 90.00, 90.00 degrees
Space group P4/mbm (No. 127)
Unique sites:
Mg  0.185  0.315  0.000 [4 per cell]
Al  0.112  0.612  0.500 [4 per cell]
Sb  0.000  0.000  0.500 [2 per cell]

Calculated values
Energy relative to the elements, uncorrected   0.201 eV per formula unit
M_tot   0.0000 μB/atom


(4)
Mg2AlSb2: relaxed, PBE-GGA.

Cell lengths 8.458, 8.458, 3.405 Å; angles 90.00, 90.00, 90.00 degrees
Space group P4/mbm (No. 127)
Unique sites:
Mg  0.133  0.367  0.000 [4 per cell]
Al  0.000  0.000  0.500 [2 per cell]
Sb  0.167  0.667  0.500 [4 per cell]

Calculated values
Energy relative to the elements, uncorrected   -0.147 eV per formula unit
M_tot   0.0000 μB/atom